Entry 1:
# Tm6BiSb2Te3 PBE relaxed
data_Tm6BiSb2Te3
_chemical_formula_sum 'Tm12 Bi2 Sb4 Te6'
_space_group_name_H-M_alt 'C 1 2/m 1'
_space_group_IT_number 12
_cell_length_a 18.934
_cell_length_b 4.340
_cell_length_c 8.671
_cell_angle_alpha 90.00
_cell_angle_beta 103.17
_cell_angle_gamma 90.00
loop_
_space_group_symop_operation_xyz
'x,y,z'
'-x,-y,-z'
'-x,y,-z'
'x,-y,z'
'x+1/2,y+1/2,z'
'-x+1/2,-y+1/2,-z'
'-x+1/2,y+1/2,-z'
'x+1/2,-y+1/2,z'
loop_
_atom_site_label
_atom_site_type_symbol
_atom_site_fract_x
_atom_site_fract_y
_atom_site_fract_z
Tm1 Tm 0.004 0.000 0.252
Tm2 Tm 0.168 0.500 0.094
Tm3 Tm 0.170 0.500 0.577
Bi1 Bi 0.000 0.500 0.000
Sb1 Sb 0.167 0.000 0.334
Te1 Te 0.000 0.500 0.500
Te2 Te 0.165 0.000 0.834
# mass density: 8852 kg/m³
# formation energy (no corrections): -1.110 eV/atom



Entry 2:
# Tm6Bi2Sb3Te PBE relaxed
data_Tm6Bi2Sb3Te
_chemical_formula_sum 'Tm12 Bi4 Sb6 Te2'
_space_group_name_H-M_alt 'C 1 2/m 1'
_space_group_IT_number 12
_cell_length_a 19.003
_cell_length_b 4.364
_cell_length_c 8.733
_cell_angle_alpha 90.00
_cell_angle_beta 103.27
_cell_angle_gamma 90.00
loop_
_space_group_symop_operation_xyz
'x,y,z'
'-x,-y,-z'
'-x,y,-z'
'x,-y,z'
'x+1/2,y+1/2,z'
'-x+1/2,-y+1/2,-z'
'-x+1/2,y+1/2,-z'
'x+1/2,-y+1/2,z'
loop_
_atom_site_label
_atom_site_type_symbol
_atom_site_fract_x
_atom_site_fract_y
_atom_site_fract_z
Tm1 Tm 0.001 0.000 0.243
Tm2 Tm 0.165 0.500 0.087
Tm3 Tm 0.169 0.500 0.580
Bi1 Bi 0.166 0.000 0.832
Sb1 Sb 0.000 0.500 0.000
Sb2 Sb 0.166 0.000 0.334
Te1 Te 0.000 0.500 0.500
# mass density: 9068 kg/m³
# formation energy (no corrections): -1.021 eV/atom



| no. | V (A^3/atom) |
| --- | --- |
| 1 | 28.90 |
| 2 | 29.37 |